A relaxed structure of K3LaDy2Se6, computed with GGA-PBE.

a = 7.431 Å, b = 12.872 Å, c = 8.077 Å
α = 90.00°, β = 107.89°, γ = 90.00°
Space group C2/m (No. 12)
Unique sites:
K 0.000 0.000 0.000 [2 per cell]
K 0.000 0.335 0.000 [4 per cell]
La 0.000 0.500 0.500 [2 per cell]
Dy 0.000 0.167 0.500 [4 per cell]
Se 0.224 0.000 0.707 [4 per cell]
Se 0.241 0.328 0.707 [8 per cell]

Output
formation energy (no corrections)	-1.783	eV/atom
energy	-4.98	eV per atom
D(E_F)	0.0	states/eV/cell

=====

A relaxed structure of K3La2DySe6, computed with GGA-PBE.

a = 7.565 Å, b = 13.103 Å, c = 8.089 Å
α = 90.00°, β = 108.19°, γ = 90.00°
Space group C2/m (No. 12)
Unique sites:
K 0.000 0.000 0.000 [2 per cell]
K 0.000 0.332 0.000 [4 per cell]
La 0.000 0.167 0.500 [4 per cell]
Dy 0.000 0.500 0.500 [2 per cell]
Se 0.231 0.339 0.709 [8 per cell]
Se 0.248 0.000 0.709 [4 per cell]

Output
formation energy (no corrections)	-1.805	eV/atom
energy	-5.03	eV per atom
D(E_F)	0.0	states/eV/cell

=====

Number 1: total magnetic moment 0.000 μB per atom. Number 2: total magnetic moment 0.000 μB per atom.